The following is a SCAN calculation of a PBEsol-optimized structure of MnCd2Se, from the Alexandria database.

- Electronic total energy: -24.884 eV/atom
- ΔE_f (raw): -0.094 eV/atom

Unit cell a=2.9760 b=4.6276 c=11.4275 alpha=90.00 beta=90.00 gamma=90.00
Last column: nearest neighbours and their distance in Å.
Space group Imm2 (No. 44)
Inequivalent atoms, fractional coordinates:
Mn 0.0000 0.0000 0.0000 x2  2 Se 2.34
Cd 0.0000 0.0000 0.4644 x2  4 Mn 2.78, 4 Cd 2.98-3.03
Cd 0.0000 0.5000 0.2935 x2  2 Mn 2.79, 4 Cd 2.98-3.03
Se 0.0000 0.5000 0.6580 x2  2 Mn 2.34


The following is a SCAN calculation of a PBEsol-optimized structure of HfTl2SnN, from the Alexandria database.

- Electronic total energy: -49.192 eV/atom
- ΔE_f (raw): 1.329 eV/atom

Unit cell a=5.6363 b=5.6363 c=5.4232 alpha=90.00 beta=90.00 gamma=90.00
Last column: nearest neighbours and their distance in Å.
Space group P4/mmm (No. 123)
Inequivalent atoms, fractional coordinates:
Hf 0.0000 0.0000 0.0000 x1  2 Sn 2.71, 4 Tl 2.82
Tl 0.0000 0.5000 0.0000 x2  2 Hf 2.82
Sn 0.0000 0.0000 0.5000 x1  2 Hf 2.71
N 0.5000 0.5000 0.5000 x1  8 Tl 3.91, 4 Sn 3.99


The following is a SCAN calculation of a PBEsol-optimized structure of ZrAgTe, from the Alexandria database.

- Electronic total energy: -33.195 eV/atom
- Relative energy among the computed polymorphs: 0.000 eV/atom
- ΔE_f (raw): -0.089 eV/atom

Unit cell a=6.6673 b=6.6673 c=6.6673 alpha=90.00 beta=90.00 gamma=90.00
Last column: nearest neighbours and their distance in Å.
Space group F-43m (No. 216)
Inequivalent atoms, fractional coordinates:
Zr 0.0000 0.0000 0.0000 x4  4 Te 2.89, 4 Ag 2.89
Ag 0.2500 0.2500 0.2500 x4  4 Zr 2.89
Te 0.2500 0.2500 0.7500 x4  4 Zr 2.89